1.
Entry from Alexandria: a relaxed structure of Ac3Sm5Er2 (PBE-GGA).

Output
M_tot   0.00 μB/f.u.
Symmetry   No. 72
D(E_F)   1.488 states/eV per atom
DFT formation energy   0.35 eV/atom

Cell: 10.286 10.286 10.286 Å, 122.35 93.40 113.93°
Fractional coordinates of all 20 atoms:
Ac 0.124 0.248 0.372
Ac 0.250 0.250 0.000
Ac 0.376 0.748 0.124
Ac 0.624 0.252 0.876
Ac 0.750 0.750 0.000
Ac 0.876 0.752 0.628
Sm 0.007 0.750 0.257
Sm 0.121 0.599 0.721
Sm 0.250 0.750 0.500
Sm 0.379 0.099 0.478
Sm 0.493 0.750 0.743
Sm 0.507 0.250 0.257
Sm 0.621 0.901 0.522
Sm 0.750 0.250 0.500
Sm 0.879 0.401 0.279
Sm 0.993 0.250 0.743
Er 0.139 0.907 0.047
Er 0.361 0.407 0.768
Er 0.639 0.593 0.232
Er 0.861 0.093 0.953

***

2.
Entry from Alexandria: a relaxed structure of Ac7Sm2Er2 (PBE-GGA).

Output
M_tot   0.00 μB/f.u.
Symmetry   No. 12
D(E_F)   1.683 states/eV per atom
DFT formation energy   0.26 eV/atom

Cell: 8.484 8.484 6.701 Å, 95.32 95.32 77.04°
Fractional coordinates of all 11 atoms:
Ac 0.000 0.000 0.000
Ac 0.089 0.435 0.248
Ac 0.435 0.089 0.248
Ac 0.450 0.450 0.738
Ac 0.550 0.550 0.262
Ac 0.565 0.911 0.752
Ac 0.911 0.565 0.752
Sm 0.200 0.200 0.707
Sm 0.800 0.800 0.293
Er 0.174 0.826 0.500
Er 0.826 0.174 0.500

***

Q: Which of these has the lowest D(E_F)?
A: Ac3Sm5Er2